Ba3PaS5 | PBE | optimized geometry Values from VASP.

Geometry as Quantum ESPRESSO input:
```
&SYSTEM
  ibrav = 0, nat = 18, ntyp = 3
/
ATOMIC_SPECIES
Ba 137.33 Ba.upf
Pa 231.04 Pa.upf
S 32.06 S.upf
CELL_PARAMETERS angstrom
-4.2986 4.2986 7.6538
4.2986 -4.2986 7.6538
4.2986 4.2986 -7.6538
ATOMIC_POSITIONS crystal
Ba 0.1637 0.6637 0.8275
Ba 0.2500 0.2500 0.0000
Ba 0.3363 0.1637 0.5000
Ba 0.6637 0.8363 0.5000
Ba 0.7500 0.7500 0.0000
Ba 0.8363 0.3363 0.1725
Pa 0.2500 0.7500 0.5000
Pa 0.7500 0.2500 0.5000
S 0.0000 0.0000 0.0000
S 0.0169 0.1922 0.5000
S 0.1922 0.6922 0.1753
S 0.3078 0.4831 0.5000
S 0.4831 0.9831 0.1753
S 0.5000 0.5000 0.0000
S 0.5169 0.0169 0.8247
S 0.6922 0.5169 0.5000
S 0.8078 0.3078 0.8247
S 0.9831 0.8078 0.5000
```

Calculated values
- ΔE_f (raw): -1.742 eV/atom
- Crystal system: tetragonal
- Total energy: -5.731 eV per atom
- SG: I4/mcm
- Total moment: 1.01 μB/f.u.

---

Fe6Co | PBE | optimized geometry Values from VASP.

Geometry as Quantum ESPRESSO input:
```
&SYSTEM
  ibrav = 0, nat = 7, ntyp = 2
/
ATOMIC_SPECIES
Fe 55.84 Fe.upf
Co 58.93 Co.upf
CELL_PARAMETERS angstrom
4.4964 -1.4287 0.0000
4.4964 1.4287 0.0000
-0.9059 0.0000 6.2863
ATOMIC_POSITIONS crystal
Fe 0.0705 0.0705 0.2153
Fe 0.2131 0.2131 0.6419
Fe 0.3563 0.3563 0.0711
Fe 0.6437 0.6437 0.9289
Fe 0.7869 0.7869 0.3581
Fe 0.9295 0.9295 0.7847
Co 0.5000 0.5000 0.5000
```

Calculated values
- Crystal system: monoclinic
- Total energy: -8.289 eV per atom
- SG: C2/m
- Total moment: 16.38 μB/f.u.

---

Tb2SnI | PBE | optimized geometry Values from VASP.

Geometry as Quantum ESPRESSO input:
```
&SYSTEM
  ibrav = 0, nat = 4, ntyp = 3
/
ATOMIC_SPECIES
Tb 158.93 Tb.upf
Sn 118.71 Sn.upf
I 126.90 I.upf
CELL_PARAMETERS angstrom
2.1944 1.2669 7.6964
-2.1944 1.2669 7.6964
0.0000 -2.5338 7.6964
ATOMIC_POSITIONS crystal
Tb 0.0000 0.0000 0.0000
Tb 0.1937 0.1937 0.1937
Sn 0.5986 0.5986 0.5986
I 0.4282 0.4282 0.4282
```

Calculated values
- ΔE_f (raw): -0.739 eV/atom
- Crystal system: trigonal
- Total energy: -4.443 eV per atom
- SG: R3m
- Total moment: 0.00 μB/f.u.

---

TlZn2Cd2 | PBE | optimized geometry Values from VASP.

Geometry as Quantum ESPRESSO input:
```
&SYSTEM
  ibrav = 0, nat = 10, ntyp = 3
/
ATOMIC_SPECIES
Tl 204.38 Tl.upf
Zn 65.41 Zn.upf
Cd 112.41 Cd.upf
CELL_PARAMETERS angstrom
8.4827 0.0000 0.0000
0.0000 8.4827 0.0000
0.0000 0.0000 3.0277
ATOMIC_POSITIONS crystal
Tl 0.0000 0.0000 0.0000
Tl 0.5000 0.5000 0.0000
Zn 0.1134 0.3866 0.0000
Zn 0.3866 0.8866 0.0000
Zn 0.6134 0.1134 0.0000
Zn 0.8866 0.6134 0.0000
Cd 0.1819 0.6819 0.5000
Cd 0.3181 0.1819 0.5000
Cd 0.6819 0.8181 0.5000
Cd 0.8181 0.3181 0.5000
```

Calculated values
- Crystal system: tetragonal
- Total energy: -1.256 eV per atom
- SG: P4/mbm
- Total moment: 0.00 μB/f.u.

---

InAsRuCl | PBE | optimized geometry Values from VASP.

Geometry as Quantum ESPRESSO input:
```
&SYSTEM
  ibrav = 0, nat = 4, ntyp = 4
/
ATOMIC_SPECIES
In 114.82 In.upf
As 74.92 As.upf
Ru 101.07 Ru.upf
Cl 35.45 Cl.upf
CELL_PARAMETERS angstrom
5.4412 -2.3749 0.0000
5.4412 2.3749 0.0000
-0.0594 0.0000 3.1039
ATOMIC_POSITIONS crystal
In 0.0000 0.0000 0.0000
As 0.2965 0.2965 0.9876
Ru 0.4650 0.4650 0.4988
Cl 0.6864 0.6864 0.5123
```

Calculated values
- ΔE_f (raw): -0.186 eV/atom
- Crystal system: monoclinic
- Total energy: -4.813 eV per atom
- SG: Cm
- Total moment: 0.00 μB/f.u.

---

PrTm2Pd | PBE | optimized geometry Values from VASP.

Geometry as Quantum ESPRESSO input:
```
&SYSTEM
  ibrav = 0, nat = 4, ntyp = 3
/
ATOMIC_SPECIES
Pr 140.91 Pr.upf
Tm 168.93 Tm.upf
Pd 106.42 Pd.upf
CELL_PARAMETERS angstrom
3.5383 0.0000 0.0000
0.0000 3.5383 0.0000
0.0000 0.0000 8.6228
ATOMIC_POSITIONS crystal
Pr 0.0000 0.0000 0.0000
Tm 0.5000 0.5000 0.3094
Tm 0.5000 0.5000 0.6906
Pd 0.0000 0.0000 0.5000
```

Calculated values
- Crystal system: tetragonal
- Total energy: -5.179 eV per atom
- SG: P4/mmm
- Total moment: 0.00 μB/f.u.

---

ZrMnNi | PBE | optimized geometry Values from VASP.

Geometry as Quantum ESPRESSO input:
```
&SYSTEM
  ibrav = 0, nat = 12, ntyp = 3
/
ATOMIC_SPECIES
Zr 91.22 Zr.upf
Mn 54.94 Mn.upf
Ni 58.69 Ni.upf
CELL_PARAMETERS angstrom
8.0225 0.0000 0.0000
0.0000 2.4715 4.3678
0.0000 -2.4715 4.3678
ATOMIC_POSITIONS crystal
Zr 0.1893 0.0000 0.0000
Zr 0.3110 0.3318 0.3318
Zr 0.6890 0.3318 0.3318
Zr 0.8107 0.0000 0.0000
Mn 0.2574 0.6609 0.6609
Mn 0.5000 0.3292 0.8416
Mn 0.5000 0.8416 0.3292
Mn 0.7426 0.6609 0.6609
Ni 0.0000 0.4964 0.9978
Ni 0.0000 0.4978 0.4978
Ni 0.0000 0.9978 0.4964
Ni 0.5000 0.8385 0.8385
```

Calculated values
- Crystal system: orthorhombic
- Total energy: -8.114 eV per atom
- SG: Amm2
- Total moment: 0.48 μB/f.u.

---

Ba2InSn3Hg4 | PBE | optimized geometry Values from VASP.

Geometry as Quantum ESPRESSO input:
```
&SYSTEM
  ibrav = 0, nat = 10, ntyp = 4
/
ATOMIC_SPECIES
Ba 137.33 Ba.upf
In 114.82 In.upf
Sn 118.71 Sn.upf
Hg 200.59 Hg.upf
CELL_PARAMETERS angstrom
5.0111 0.0000 0.0000
0.0000 5.0111 0.0000
0.0000 0.0000 12.1067
ATOMIC_POSITIONS crystal
Ba 0.0000 0.5000 0.2409
Ba 0.5000 0.0000 0.7591
In 0.0000 0.0000 0.5000
Sn 0.0000 0.5000 0.8693
Sn 0.5000 0.0000 0.1307
Sn 0.5000 0.5000 0.5000
Hg 0.0000 0.0000 0.0000
Hg 0.0000 0.5000 0.6350
Hg 0.5000 0.0000 0.3650
Hg 0.5000 0.5000 0.0000
```

Calculated values
- Crystal system: tetragonal
- Total energy: -2.373 eV per atom
- SG: P-4m2
- Total moment: 0.00 μB/f.u.

---

Ta2Mn | PBE | optimized geometry Values from VASP.

Geometry as Quantum ESPRESSO input:
```
&SYSTEM
  ibrav = 0, nat = 12, ntyp = 2
/
ATOMIC_SPECIES
Ta 180.95 Ta.upf
Mn 54.94 Mn.upf
CELL_PARAMETERS angstrom
5.3405 0.0000 0.0000
0.0000 4.5048 0.0000
0.0000 0.0000 7.9122
ATOMIC_POSITIONS crystal
Ta 0.0200 0.2500 0.2330
Ta 0.1750 0.2500 0.5878
Ta 0.3250 0.7500 0.0878
Ta 0.4800 0.7500 0.7330
Ta 0.5200 0.2500 0.2670
Ta 0.6750 0.2500 0.9122
Ta 0.8250 0.7500 0.4122
Ta 0.9800 0.7500 0.7670
Mn 0.1759 0.2500 0.9305
Mn 0.3241 0.7500 0.4305
Mn 0.6759 0.2500 0.5695
Mn 0.8241 0.7500 0.0695
```

Calculated values
- Crystal system: orthorhombic
- Total energy: -10.955 eV per atom
- SG: Pnma
- Total moment: 0.00 μB/f.u.

---

Se2IO | PBE | optimized geometry Values from VASP.

Geometry as Quantum ESPRESSO input:
```
&SYSTEM
  ibrav = 0, nat = 4, ntyp = 3
/
ATOMIC_SPECIES
Se 78.96 Se.upf
I 126.90 I.upf
O 16.00 O.upf
CELL_PARAMETERS angstrom
1.9989 1.1541 8.0803
-1.9989 1.1541 8.0803
0.0000 -2.3081 8.0803
ATOMIC_POSITIONS crystal
Se 0.0741 0.0741 0.0741
Se 0.9259 0.9259 0.9259
I 0.5000 0.5000 0.5000
O 0.0000 0.0000 0.0000
```

Calculated values
- ΔE_f (raw): 0.308 eV/atom
- Crystal system: trigonal
- Total energy: -3.062 eV per atom
- SG: R-3m
- Total moment: 0.00 μB/f.u.

---

Cs2NbPBr6 | PBE | optimized geometry Values from VASP.

Geometry as Quantum ESPRESSO input:
```
&SYSTEM
  ibrav = 0, nat = 10, ntyp = 4
/
ATOMIC_SPECIES
Cs 132.91 Cs.upf
Nb 92.91 Nb.upf
P 30.97 P.upf
Br 79.90 Br.upf
CELL_PARAMETERS angstrom
-3.7614 3.7614 6.3839
3.7614 -3.7614 6.3839
3.7614 3.7614 -6.3839
ATOMIC_POSITIONS crystal
Cs 0.2500 0.7500 0.5000
Cs 0.7500 0.2500 0.5000
Nb 0.0000 0.0000 0.0000
P 0.5000 0.5000 0.0000
Br 0.2078 0.2078 0.0000
Br 0.2517 0.2517 0.5034
Br 0.2517 0.7483 0.0000
Br 0.7483 0.2517 0.0000
Br 0.7483 0.7483 0.4966
Br 0.7922 0.7922 0.0000
```

Calculated values
- ΔE_f (raw): -0.824 eV/atom
- Crystal system: tetragonal
- Total energy: -3.546 eV per atom
- SG: I4/mmm
- Total moment: 2.00 μB/f.u.

---

CsKBa | PBE | optimized geometry Values from VASP.

Geometry as Quantum ESPRESSO input:
```
&SYSTEM
  ibrav = 0, nat = 6, ntyp = 3
/
ATOMIC_SPECIES
Cs 132.91 Cs.upf
K 39.10 K.upf
Ba 137.33 Ba.upf
CELL_PARAMETERS angstrom
7.5516 0.0000 0.0000
-3.7758 6.5399 0.0000
0.0000 0.0000 9.8707
ATOMIC_POSITIONS crystal
Cs 0.3333 0.6667 0.0968
Cs 0.6667 0.3333 0.9032
K 0.0000 0.0000 0.2833
K 0.0000 0.0000 0.7167
Ba 0.3333 0.6667 0.5749
Ba 0.6667 0.3333 0.4251
```

Calculated values
- Crystal system: trigonal
- Total energy: -1.167 eV per atom
- SG: P-3m1
- Total moment: 0.00 μB/f.u.

---

Please write out number 12 again, unchanged.
CsKBa | PBE | optimized geometry Values from VASP.

Geometry as Quantum ESPRESSO input:
```
&SYSTEM
  ibrav = 0, nat = 6, ntyp = 3
/
ATOMIC_SPECIES
Cs 132.91 Cs.upf
K 39.10 K.upf
Ba 137.33 Ba.upf
CELL_PARAMETERS angstrom
7.5516 0.0000 0.0000
-3.7758 6.5399 0.0000
0.0000 0.0000 9.8707
ATOMIC_POSITIONS crystal
Cs 0.3333 0.6667 0.0968
Cs 0.6667 0.3333 0.9032
K 0.0000 0.0000 0.2833
K 0.0000 0.0000 0.7167
Ba 0.3333 0.6667 0.5749
Ba 0.6667 0.3333 0.4251
```

Calculated values
- Crystal system: trigonal
- Total energy: -1.167 eV per atom
- SG: P-3m1
- Total moment: 0.00 μB/f.u.